Rb2Bi2Au3: optimized geometry, PBE.

a b c (Å): 14.7723 4.4753 7.2696
angles (deg): 90.00 91.43 90.00
Space group C2/m (No. 12)
Inequivalent atoms, fractional coordinates:
Rb (0.1359, 0.0000, 0.1248) x4
Bi (0.1008, 0.5000, 0.6803) x4
Au (0.0000, 0.0000, 0.5000) x2
Au (0.2108, 0.0000, 0.5781) x4

Computed properties:
Total DFT energy (no corrections), eV per atom: -3.01
Spin magnetization, μB/f.u.: 0.00
E_form, eV/atom: -0.217

---

Rb3BiAu2: optimized geometry, PBE.

a b c (Å): 6.9773 13.4477 11.7061
angles (deg): 90.00 110.27 90.00
Space group P2_1/c (No. 14)
Inequivalent atoms, fractional coordinates:
Rb (0.1657, 0.2307, 0.3388) x4
Rb (0.2319, 0.6020, 0.9792) x4
Rb (0.2906, 0.5610, 0.5871) x4
Bi (0.4348, 0.6938, 0.3248) x4
Au (0.1825, 0.5147, 0.2573) x4
Au (0.3377, 0.1314, 0.6466) x4

Computed properties:
Total DFT energy (no corrections), eV per atom: -2.53
Spin magnetization, μB/f.u.: 0.00
E_form, eV/atom: -0.310

---

RbBiAu3: optimized geometry, PBE.

a b c (Å): 6.4755 7.2365 11.8592
angles (deg): 90.00 90.87 90.00
Space group P2_1/c (No. 14)
Inequivalent atoms, fractional coordinates:
Rb (0.2308, 0.9999, 0.2599) x4
Bi (0.4993, 0.2319, 0.0001) x4
Au (0.0005, 0.2015, 0.0001) x4
Au (0.2355, 0.5007, 0.1054) x4
Au (0.2671, 0.5006, 0.3396) x4

Computed properties:
Total DFT energy (no corrections), eV per atom: -3.05
Spin magnetization, μB/f.u.: 0.00
E_form, eV/atom: -0.114

---

Rb2ReBiAu: optimized geometry, PBE.

a b c (Å): 7.1394 7.1394 5.1860
angles (deg): 90.00 90.00 90.00
Space group P4/mmm (No. 123)
Inequivalent atoms, fractional coordinates:
Rb (0.0000, 0.5000, 0.0000) x2
Re (0.0000, 0.0000, 0.5000) x1
Bi (0.0000, 0.0000, 0.0000) x1
Au (0.5000, 0.5000, 0.5000) x1

Computed properties:
Total DFT energy (no corrections), eV per atom: -3.35
Spin magnetization, μB/f.u.: 2.98
E_form, eV/atom: 0.957

---

RbBi2SbAu2: optimized geometry, PBE.

a b c (Å): 4.8339 8.3565 10.2195
angles (deg): 90.00 90.00 90.00
Space group Pmc2_1 (No. 26)
Inequivalent atoms, fractional coordinates:
Rb (0.0000, 0.0461, 0.0000) x2
Bi (0.0000, 0.3364, 0.2768) x2
Bi (0.5000, 0.3920, 0.4792) x2
Sb (0.5000, 0.1847, 0.7227) x2
Au (0.0000, 0.3297, 0.7404) x2
Au (0.5000, 0.1333, 0.2753) x2

Computed properties:
Total DFT energy (no corrections), eV per atom: -3.40
Spin magnetization, μB/f.u.: 0.00
Formation energy without anion corrections, eV per atom: -0.161

---

RbBi2Sb2Au6: optimized geometry, PBE.

a b c (Å): 5.3732 6.6107 8.8386
angles (deg): 74.27 80.67 67.59
Space group P-1 (No. 2)
Inequivalent atoms, fractional coordinates:
Rb (0.0000, 0.0000, 0.0000) x1
Bi (0.1983, 0.3317, 0.2036) x2
Sb (0.4087, 0.1979, 0.6554) x2
Au (0.1567, 0.6302, 0.4003) x2
Au (0.2192, 0.8707, 0.6096) x2
Au (0.3894, 0.4442, 0.8762) x2

Computed properties:
Total DFT energy (no corrections), eV per atom: -3.42
Spin magnetization, μB/f.u.: 0.00
Formation energy without anion corrections, eV per atom: -0.089